1.
Crystalline CaMnTe2 at its relaxed geometry, computed with PBE.

Geometry as POSCAR:
```
CaMnTe2
1.0
-0.308 3.753 0.047
-1.018 -0.129 3.623
7.183 0.564 2.038
Mn Te Ca
1 2 1
Direct
0.500 0.500 0.750
0.000 0.000 0.516
0.000 0.000 0.984
0.500 0.500 0.250
```

Uncorrected energy: -4.789 eV/atom
Uncorrected formation energy: -0.43 eV per atom
Theoretical density: 5477 kg/m3


2.
Crystalline HfCr3 at its relaxed geometry, computed with PBE.

Geometry as POSCAR:
```
HfCr3
1.0
4.279 0.000 0.712
-0.119 4.277 0.712
1.090 1.120 6.664
Cr Hf
6 2
Direct
0.000 0.500 0.000
0.250 0.750 0.500
0.877 0.877 0.246
0.123 0.123 0.754
0.750 0.250 0.500
0.500 0.000 0.000
0.625 0.625 0.749
0.375 0.375 0.251
```

E_form: 208 meV per atom
Uncorrected energy: -9.498 eV/atom
Theoretical density: 9650 kg/m3


3.
Crystalline TeHPd2 at its relaxed geometry, computed with PBE.

Geometry as POSCAR:
```
TeHPd2
1.0
3.290 0.000 0.000
1.645 2.849 0.000
1.645 0.950 6.444
Pd Te H
2 1 1
Direct
0.044 0.044 0.868
0.268 0.268 0.197
0.500 0.500 0.501
0.689 0.689 0.933
```

Uncorrected energy: -4.222 eV/atom
Theoretical density: 9387 kg/m3


Which formula does entry 1 have? CaMnTe2